Na3AlH6 | PBE | relaxed

a b c (Å): 5.406 9.173 17.598
angles (deg): 90.00 90.00 90.00
Sites, in units of the cell vectors:
Na (0.191, 0.241, 0.165)
Na (0.191, 0.241, 0.335)
Na (0.191, 0.259, 0.665)
Na (0.191, 0.259, 0.835)
Na (0.253, 0.581, 0.053)
Na (0.253, 0.581, 0.447)
Na (0.253, 0.919, 0.553)
Na (0.253, 0.919, 0.947)
Na (0.301, 0.595, 0.653)
Na (0.301, 0.595, 0.847)
Na (0.301, 0.905, 0.153)
Na (0.301, 0.905, 0.347)
Na (0.699, 0.095, 0.653)
Na (0.699, 0.095, 0.847)
Na (0.699, 0.405, 0.153)
Na (0.699, 0.405, 0.347)
Na (0.747, 0.081, 0.053)
Na (0.747, 0.081, 0.447)
Na (0.747, 0.419, 0.553)
Na (0.747, 0.419, 0.947)
Na (0.809, 0.741, 0.165)
Na (0.809, 0.741, 0.335)
Na (0.809, 0.759, 0.665)
Na (0.809, 0.759, 0.835)
Al (0.219, 0.250, 0.000)
Al (0.219, 0.250, 0.500)
Al (0.256, 0.571, 0.250)
Al (0.256, 0.929, 0.750)
Al (0.744, 0.071, 0.250)
Al (0.744, 0.429, 0.750)
Al (0.781, 0.750, 0.000)
Al (0.781, 0.750, 0.500)
H (0.022, 0.693, 0.562)
H (0.022, 0.693, 0.938)
H (0.022, 0.807, 0.062)
H (0.022, 0.807, 0.438)
H (0.045, 0.525, 0.178)
H (0.045, 0.525, 0.322)
H (0.045, 0.975, 0.678)
H (0.045, 0.975, 0.822)
H (0.139, 0.747, 0.750)
H (0.139, 0.753, 0.250)
H (0.223, 0.083, 0.048)
H (0.223, 0.083, 0.452)
H (0.223, 0.417, 0.548)
H (0.223, 0.417, 0.952)
H (0.377, 0.110, 0.750)
H (0.377, 0.390, 0.250)
H (0.444, 0.180, 0.563)
H (0.444, 0.180, 0.937)
H (0.444, 0.320, 0.063)
H (0.444, 0.320, 0.437)
H (0.466, 0.616, 0.177)
H (0.466, 0.616, 0.323)
H (0.466, 0.884, 0.677)
H (0.466, 0.884, 0.823)
H (0.534, 0.116, 0.177)
H (0.534, 0.116, 0.323)
H (0.534, 0.384, 0.677)
H (0.534, 0.384, 0.823)
H (0.556, 0.680, 0.563)
H (0.556, 0.680, 0.937)
H (0.556, 0.820, 0.063)
H (0.556, 0.820, 0.437)
H (0.623, 0.610, 0.750)
H (0.623, 0.890, 0.250)
H (0.777, 0.583, 0.048)
H (0.777, 0.583, 0.452)
H (0.777, 0.917, 0.548)
H (0.777, 0.917, 0.952)
H (0.861, 0.247, 0.750)
H (0.861, 0.253, 0.250)
H (0.955, 0.025, 0.178)
H (0.955, 0.025, 0.322)
H (0.955, 0.475, 0.678)
H (0.955, 0.475, 0.822)
H (0.978, 0.193, 0.562)
H (0.978, 0.193, 0.938)
H (0.978, 0.307, 0.062)
H (0.978, 0.307, 0.438)

Properties
Space group ... Pbcm
E_tot ... -2.963 eV per atom